[1]
This record from the Alexandria database describes Ca2Tm after structural relaxation. The functional is PBE.

Results
As for the uncorrected energy: -2.454 eV per atom. Its energy of formation is 1.11 eV/f.u. The calculated volume comes out at 38.23 A^3/atom. For the distance to the lowest polymorph of the same formula, the calculation gives 0.80 eV per formula unit.

Cell: 6.871 6.871 6.871 Å, 60.00 60.00 60.00°
Fractional coordinates of all 6 atoms:
Ca (0.000, 0.000, 0.000)
Ca (0.000, 0.000, 0.500)
Ca (0.000, 0.500, 0.000)
Ca (0.500, 0.000, 0.000)
Tm (0.375, 0.375, 0.375)
Tm (0.625, 0.625, 0.625)


[2]
This record from the Alexandria database describes CaTm2 after structural relaxation. The functional is PBE.

Results
As for the uncorrected energy: -3.459 eV per atom. Its energy of formation is 0.57 eV/f.u. The calculated volume comes out at 34.86 A^3/atom. For the distance to the lowest polymorph of the same formula, the calculation gives 0.30 eV per formula unit.

Cell: 6.663 6.663 6.663 Å, 60.00 60.00 60.00°
Fractional coordinates of all 6 atoms:
Ca (0.125, 0.125, 0.125)
Ca (0.875, 0.875, 0.875)
Tm (0.000, 0.500, 0.500)
Tm (0.500, 0.000, 0.500)
Tm (0.500, 0.500, 0.000)
Tm (0.500, 0.500, 0.500)


[3]
This record from the Alexandria database describes Ca2Tm after structural relaxation. The functional is PBE.

Results
As for the uncorrected energy: -2.691 eV per atom. Its energy of formation is 0.40 eV/f.u. The calculated volume comes out at 37.37 A^3/atom. For the distance to the lowest polymorph of the same formula, the calculation gives 0.09 eV per formula unit.

Cell: 8.517 8.517 8.517 Å, 154.77 154.77 35.98°
Fractional coordinates of all 3 atoms:
Ca (0.159, 0.159, 0.000)
Ca (0.841, 0.841, 0.000)
Tm (0.500, 0.500, 0.000)


[4]
This record from the Alexandria database describes CaTm3 after structural relaxation. The functional is PBE.

Results
As for the uncorrected energy: -3.700 eV per atom. Its energy of formation is 0.62 eV/f.u. The calculated volume comes out at 31.94 A^3/atom.

Cell: 6.160 6.160 6.160 Å, 131.67 131.67 70.75°
Fractional coordinates of all 4 atoms:
Ca (0.000, 0.000, 0.000)
Tm (0.250, 0.750, 0.500)
Tm (0.500, 0.500, 0.000)
Tm (0.750, 0.250, 0.500)


[5]
This record from the Alexandria database describes CaTm3 after structural relaxation. The functional is PBE.

Results
As for the uncorrected energy: -3.660 eV per atom. Its energy of formation is 0.77 eV/f.u. The calculated volume comes out at 32.28 A^3/atom.

Cell: 5.673 5.673 5.673 Å, 60.00 60.00 60.00°
Fractional coordinates of all 4 atoms:
Ca (0.000, 0.000, 0.000)
Tm (0.250, 0.250, 0.250)
Tm (0.500, 0.500, 0.500)
Tm (0.750, 0.750, 0.750)


[6]
This record from the Alexandria database describes Ca2Tm after structural relaxation. The functional is PBE.

Results
As for the uncorrected energy: -2.721 eV per atom. Its energy of formation is 0.31 eV/f.u. The calculated volume comes out at 37.08 A^3/atom. For the distance to the lowest polymorph of the same formula, the calculation gives 0.00 eV per formula unit.

Cell: 3.705 3.705 9.364 Å, 90.14 90.14 59.92°
Fractional coordinates of all 3 atoms:
Ca (0.000, 0.000, 0.000)
Ca (0.665, 0.665, 0.647)
Tm (0.334, 0.334, 0.324)


[7]
This record from the Alexandria database describes CaTm3 after structural relaxation. The functional is PBE.

Results
As for the uncorrected energy: -3.692 eV per atom. Its energy of formation is 0.65 eV/f.u. The calculated volume comes out at 32.03 A^3/atom.

Cell: 5.041 5.041 5.041 Å, 90.00 90.00 90.00°
Fractional coordinates of all 4 atoms:
Ca (0.000, 0.000, 0.000)
Tm (0.000, 0.500, 0.500)
Tm (0.500, 0.000, 0.500)
Tm (0.500, 0.500, 0.000)


[8]
This record from the Alexandria database describes Ca5Tm after structural relaxation. The functional is PBE.

Results
As for the uncorrected energy: -2.314 eV per atom. Its energy of formation is 0.60 eV/f.u. The calculated volume comes out at 38.87 A^3/atom.

Cell: 9.857 9.857 4.012 Å, 90.00 90.00 143.25°
Fractional coordinates of all 6 atoms:
Ca (0.000, 0.000, 0.000)
Ca (0.169, 0.831, 0.500)
Ca (0.342, 0.658, 0.000)
Ca (0.658, 0.342, 0.000)
Ca (0.831, 0.169, 0.500)
Tm (0.500, 0.500, 0.500)


[9]
This record from the Alexandria database describes CaTm4 after structural relaxation. The functional is PBE.

Results
As for the uncorrected energy: -3.082 eV per atom. Its energy of formation is 4.48 eV/f.u. The calculated volume comes out at 33.44 A^3/atom.

Cell: 5.509 5.509 5.509 Å, 90.00 90.00 90.00°
Fractional coordinates of all 5 atoms:
Ca (0.000, 0.000, 0.000)
Tm (0.000, 0.000, 0.500)
Tm (0.000, 0.500, 0.000)
Tm (0.500, 0.000, 0.000)
Tm (0.500, 0.500, 0.500)


[10]
This record from the Alexandria database describes CaTm3 after structural relaxation. The functional is PBE.

Results
As for the uncorrected energy: -3.757 eV per atom. Its energy of formation is 0.39 eV/f.u. The calculated volume comes out at 32.06 A^3/atom.

Cell: 6.767 6.767 6.767 Å, 149.26 64.23 125.11°
Fractional coordinates of all 4 atoms:
Ca (0.000, 0.000, 0.000)
Tm (0.100, 0.339, 0.761)
Tm (0.503, 0.003, 0.500)
Tm (0.578, 0.339, 0.239)


[11]
This record from the Alexandria database describes CaTm3 after structural relaxation. The functional is PBE.

Results
As for the uncorrected energy: -3.744 eV per atom. Its energy of formation is 0.44 eV/f.u. The calculated volume comes out at 32.19 A^3/atom.

Cell: 3.578 5.720 6.291 Å, 90.00 90.00 90.00°
Fractional coordinates of all 4 atoms:
Ca (0.000, 0.000, 0.000)
Tm (0.000, 0.500, 0.661)
Tm (0.500, 0.000, 0.500)
Tm (0.500, 0.500, 0.180)


[12]
This record from the Alexandria database describes CaTm2 after structural relaxation. The functional is PBE.

Results
As for the uncorrected energy: -3.558 eV per atom. Its energy of formation is 0.27 eV/f.u. The calculated volume comes out at 33.15 A^3/atom. For the distance to the lowest polymorph of the same formula, the calculation gives 0.00 eV per formula unit.

Cell: 8.117 8.117 8.117 Å, 154.44 154.44 36.46°
Fractional coordinates of all 3 atoms:
Ca (0.000, 0.000, 0.000)
Tm (0.323, 0.323, 0.000)
Tm (0.677, 0.677, 0.000)


[13]
This record from the Alexandria database describes CaYTm2 after structural relaxation. The functional is PBE.

Results
As for the uncorrected energy: -4.263 eV per atom. Its energy of formation is 0.36 eV/f.u. The calculated volume comes out at 33.30 A^3/atom. For the distance to the lowest polymorph of the same formula, the calculation gives 0.05 eV per formula unit.

Cell: 3.590 3.590 10.333 Å, 90.00 90.00 90.00°
Fractional coordinates of all 4 atoms:
Ca (0.000, 0.000, 0.000)
Y (0.000, 0.000, 0.500)
Tm (0.500, 0.500, 0.269)
Tm (0.500, 0.500, 0.731)


[14]
This record from the Alexandria database describes CaY12Tm6 after structural relaxation. The functional is PBE.

Results
As for the uncorrected energy: -5.555 eV per atom. Its energy of formation is 0.86 eV/f.u. The calculated volume comes out at 31.91 A^3/atom.

Cell: 9.421 9.421 9.421 Å, 110.93 110.93 110.93°
Fractional coordinates of all 19 atoms:
Ca (0.000, 0.000, 0.000)
Y (0.107, 0.733, 0.163)
Y (0.163, 0.107, 0.733)
Y (0.213, 0.481, 0.321)
Y (0.267, 0.837, 0.893)
Y (0.321, 0.213, 0.481)
Y (0.481, 0.321, 0.213)
Y (0.519, 0.679, 0.787)
Y (0.679, 0.787, 0.519)
Y (0.733, 0.163, 0.107)
Y (0.787, 0.519, 0.679)
Y (0.837, 0.893, 0.267)
Y (0.893, 0.267, 0.837)
Tm (0.049, 0.365, 0.576)
Tm (0.365, 0.576, 0.049)
Tm (0.424, 0.951, 0.635)
Tm (0.576, 0.049, 0.365)
Tm (0.635, 0.424, 0.951)
Tm (0.951, 0.635, 0.424)


[15]
This record from the Alexandria database describes CaY2Tm after structural relaxation. The functional is PBE.

Results
As for the uncorrected energy: -4.783 eV per atom. Its energy of formation is 0.27 eV/f.u. The calculated volume comes out at 33.68 A^3/atom. For the distance to the lowest polymorph of the same formula, the calculation gives 0.02 eV per formula unit.

Cell: 12.238 12.238 12.238 Å, 16.87 16.87 16.87°
Fractional coordinates of all 4 atoms:
Ca (0.000, 0.000, 0.000)
Y (0.244, 0.244, 0.244)
Y (0.756, 0.756, 0.756)
Tm (0.500, 0.500, 0.500)


[16]
This record from the Alexandria database describes CaY6Tm2 after structural relaxation. The functional is PBE.

Results
As for the uncorrected energy: -5.402 eV per atom. Its energy of formation is 1.11 eV/f.u. The calculated volume comes out at 33.49 A^3/atom.

Cell: 10.148 10.148 10.148 Å, 159.77 123.10 61.03°
Fractional coordinates of all 9 atoms:
Ca (0.000, 0.000, 0.000)
Y (0.008, 0.327, 0.681)
Y (0.333, 0.500, 0.833)
Y (0.354, 0.673, 0.681)
Y (0.646, 0.327, 0.319)
Y (0.667, 0.500, 0.167)
Y (0.992, 0.673, 0.319)
Tm (0.353, 0.853, 0.500)
Tm (0.647, 0.147, 0.500)


[17]
This record from the Alexandria database describes CaY14Tm after structural relaxation. The functional is PBE.

Results
As for the uncorrected energy: -6.040 eV per atom. Its energy of formation is 0.33 eV/f.u. The calculated volume comes out at 32.96 A^3/atom.

Cell: 11.382 7.313 7.313 Å, 60.04 90.00 90.00°
Fractional coordinates of all 16 atoms:
Ca (0.000, 0.000, 0.000)
Y (0.000, 0.500, 0.999)
Y (0.000, 0.999, 0.500)
Y (0.246, 0.666, 0.666)
Y (0.253, 0.169, 0.663)
Y (0.253, 0.663, 0.169)
Y (0.254, 0.169, 0.169)
Y (0.500, 0.000, 0.000)
Y (0.500, 0.000, 0.500)
Y (0.500, 0.500, 0.000)
Y (0.500, 0.500, 0.500)
Y (0.746, 0.169, 0.169)
Y (0.747, 0.169, 0.663)
Y (0.747, 0.663, 0.169)
Y (0.754, 0.666, 0.666)
Tm (0.000, 0.500, 0.500)


[18]
This record from the Alexandria database describes CaYTm2 after structural relaxation. The functional is PBE.

Results
As for the uncorrected energy: -4.268 eV per atom. Its energy of formation is 0.34 eV/f.u. The calculated volume comes out at 33.08 A^3/atom. For the distance to the lowest polymorph of the same formula, the calculation gives 0.03 eV per formula unit.

Cell: 12.165 12.165 12.165 Å, 16.88 16.88 16.88°
Fractional coordinates of all 4 atoms:
Ca (0.000, 0.000, 0.000)
Y (0.500, 0.500, 0.500)
Tm (0.245, 0.245, 0.245)
Tm (0.755, 0.755, 0.755)


[19]
This record from the Alexandria database describes CaYTm2 after structural relaxation. The functional is PBE.

Results
As for the uncorrected energy: -4.199 eV per atom. Its energy of formation is 0.61 eV/f.u. The calculated volume comes out at 32.64 A^3/atom. For the distance to the lowest polymorph of the same formula, the calculation gives 0.30 eV per formula unit.

Cell: 5.061 5.061 5.098 Å, 90.00 90.00 90.00°
Fractional coordinates of all 4 atoms:
Ca (0.000, 0.000, 0.000)
Y (0.500, 0.500, 0.000)
Tm (0.000, 0.500, 0.500)
Tm (0.500, 0.000, 0.500)


[20]
This record from the Alexandria database describes CaY15Tm4 after structural relaxation. The functional is PBE.

Results
As for the uncorrected energy: -5.798 eV per atom. Its energy of formation is 0.89 eV/f.u. The calculated volume comes out at 32.20 A^3/atom.

Cell: 5.047 5.047 25.288 Å, 90.00 90.00 90.00°
Fractional coordinates of all 20 atoms:
Ca (0.000, 0.000, 0.000)
Y (0.000, 0.500, 0.105)
Y (0.000, 0.500, 0.302)
Y (0.000, 0.500, 0.500)
Y (0.000, 0.500, 0.698)
Y (0.000, 0.500, 0.895)
Y (0.500, 0.000, 0.105)
Y (0.500, 0.000, 0.302)
Y (0.500, 0.000, 0.500)
Y (0.500, 0.000, 0.698)
Y (0.500, 0.000, 0.895)
Y (0.500, 0.500, 0.000)
Y (0.500, 0.500, 0.202)
Y (0.500, 0.500, 0.401)
Y (0.500, 0.500, 0.599)
Y (0.500, 0.500, 0.798)
Tm (0.000, 0.000, 0.202)
Tm (0.000, 0.000, 0.401)
Tm (0.000, 0.000, 0.599)
Tm (0.000, 0.000, 0.798)


[21]
This record from the Alexandria database describes CaY5Tm4 after structural relaxation. The functional is PBE.

Results
As for the uncorrected energy: -5.175 eV per atom. Its energy of formation is 0.46 eV/f.u. The calculated volume comes out at 32.16 A^3/atom.

Cell: 3.560 3.560 25.375 Å, 90.00 90.00 90.00°
Fractional coordinates of all 10 atoms:
Ca (0.000, 0.000, 0.000)
Y (0.500, 0.500, 0.112)
Y (0.500, 0.500, 0.305)
Y (0.500, 0.500, 0.500)
Y (0.500, 0.500, 0.695)
Y (0.500, 0.500, 0.888)
Tm (0.000, 0.000, 0.206)
Tm (0.000, 0.000, 0.402)
Tm (0.000, 0.000, 0.598)
Tm (0.000, 0.000, 0.794)


[22]
This record from the Alexandria database describes CaY2Tm after structural relaxation. The functional is PBE.

Results
As for the uncorrected energy: -4.688 eV per atom. Its energy of formation is 0.65 eV/f.u. The calculated volume comes out at 33.48 A^3/atom. For the distance to the lowest polymorph of the same formula, the calculation gives 0.39 eV per formula unit.

Cell: 5.743 5.743 5.743 Å, 60.00 60.00 60.00°
Fractional coordinates of all 4 atoms:
Ca (0.000, 0.000, 0.000)
Y (0.250, 0.250, 0.250)
Y (0.750, 0.750, 0.750)
Tm (0.500, 0.500, 0.500)


[23]
This record from the Alexandria database describes Ca2YTm after structural relaxation. The functional is PBE.

Results
As for the uncorrected energy: -3.537 eV per atom. Its energy of formation is 0.79 eV/f.u. The calculated volume comes out at 35.07 A^3/atom. For the distance to the lowest polymorph of the same formula, the calculation gives 0.19 eV per formula unit.

Cell: 4.115 4.115 8.282 Å, 90.00 90.00 90.00°
Fractional coordinates of all 4 atoms:
Ca (0.000, 0.000, 0.247)
Ca (0.000, 0.000, 0.753)
Y (0.500, 0.500, 0.500)
Tm (0.500, 0.500, 0.000)


[24]
This record from the Alexandria database describes CaY8Tm6 after structural relaxation. The functional is PBE.

Results
As for the uncorrected energy: -5.119 eV per atom. Its energy of formation is 3.75 eV/f.u. The calculated volume comes out at 33.70 A^3/atom.

Cell: 9.465 9.465 6.515 Å, 90.00 90.00 120.00°
Fractional coordinates of all 15 atoms:
Ca (0.000, 0.000, 0.000)
Y (0.024, 0.338, 0.597)
Y (0.314, 0.976, 0.597)
Y (0.333, 0.667, 0.335)
Y (0.338, 0.314, 0.403)
Y (0.662, 0.686, 0.597)
Y (0.667, 0.333, 0.665)
Y (0.686, 0.024, 0.403)
Y (0.976, 0.662, 0.403)
Tm (0.104, 0.676, 0.906)
Tm (0.324, 0.428, 0.906)
Tm (0.428, 0.104, 0.094)
Tm (0.572, 0.896, 0.906)
Tm (0.676, 0.572, 0.094)
Tm (0.896, 0.324, 0.094)


[25]
This record from the Alexandria database describes Ca2YTm after structural relaxation. The functional is PBE.

Results
As for the uncorrected energy: -3.586 eV per atom. Its energy of formation is 0.59 eV/f.u. The calculated volume comes out at 35.51 A^3/atom. For the distance to the lowest polymorph of the same formula, the calculation gives 0.00 eV per formula unit.

Cell: 12.516 12.516 12.516 Å, 16.75 16.75 16.75°
Fractional coordinates of all 4 atoms:
Ca (0.249, 0.249, 0.249)
Ca (0.751, 0.751, 0.751)
Y (0.000, 0.000, 0.000)
Tm (0.500, 0.500, 0.500)


[26]
This record from the Alexandria database describes CaY12Tm5 after structural relaxation. The functional is PBE.

Results
As for the uncorrected energy: -5.615 eV per atom. Its energy of formation is 0.85 eV/f.u. The calculated volume comes out at 32.08 A^3/atom.

Cell: 10.707 10.707 5.037 Å, 90.00 90.00 90.17°
Fractional coordinates of all 18 atoms:
Ca (0.000, 0.000, 0.000)
Y (0.002, 0.663, 0.000)
Y (0.167, 0.501, 0.500)
Y (0.171, 0.171, 0.500)
Y (0.335, 0.335, 0.000)
Y (0.337, 0.998, 0.000)
Y (0.499, 0.833, 0.500)
Y (0.501, 0.167, 0.500)
Y (0.663, 0.002, 0.000)
Y (0.665, 0.665, 0.000)
Y (0.829, 0.829, 0.500)
Y (0.833, 0.499, 0.500)
Y (0.998, 0.337, 0.000)
Tm (0.174, 0.826, 0.500)
Tm (0.334, 0.666, 0.000)
Tm (0.500, 0.500, 0.500)
Tm (0.666, 0.334, 0.000)
Tm (0.826, 0.174, 0.500)